Below is a relaxed structure of MnBi2IrO8, with properties calculated at the PBE+U level.

Computed properties:
* symmetry: P2/m (10)
* uncorrected energy: -6.2980 eV per atom

Unit cell a=4.850 b=6.842 c=4.856 alpha=90.00 beta=91.35 gamma=90.00
Positions (direct):
Mn 0.000 0.000 0.000
Bi 0.500 0.248 0.500
Bi 0.500 0.752 0.500
Ir 0.000 0.500 0.000
O 0.180 0.267 0.827
O 0.180 0.733 0.827
O 0.277 0.500 0.287
O 0.287 0.000 0.291
O 0.713 0.000 0.709
O 0.723 0.500 0.713
O 0.820 0.267 0.173
O 0.820 0.733 0.173